Density functional theory data (PBE-GGA) for Pr4Se2S3 after structural relaxation.

The structure in POSCAR format:
```
Pr4Se2S3
1.0
3.985 -7.625 0.000
3.985 7.625 0.000
0.000 0.000 7.613
Pr Se S
8 4 6
Direct
0.201 0.799 0.958
0.225 0.275 0.750
0.275 0.225 0.250
0.299 0.701 0.458
0.701 0.299 0.542
0.725 0.775 0.750
0.775 0.725 0.250
0.799 0.201 0.042
0.105 0.895 0.585
0.395 0.605 0.085
0.605 0.395 0.915
0.895 0.105 0.415
0.000 0.000 0.000
0.041 0.459 0.750
0.459 0.041 0.250
0.500 0.500 0.500
0.541 0.959 0.750
0.959 0.541 0.250
```

Calculated values
E above lowest polymorph = 43 meV per atom
Space group = Cmce (64)

---

Density functional theory data (PBE-GGA) for BPdPt2 after structural relaxation.

The structure in POSCAR format:
```
BPdPt2
1.0
2.751 0.000 0.000
0.000 2.751 0.000
0.000 0.000 7.000
B Pd Pt
1 1 2
Direct
0.000 0.000 0.000
0.000 0.000 0.500
0.500 0.500 0.193
0.500 0.500 0.807
```

Calculated values
Energy of formation = -0.01 eV/atom
Space group = P4/mmm (123)

---

Density functional theory data (PBE-GGA) for KGaReNi2 after structural relaxation.

The structure in POSCAR format:
```
KGaReNi2
1.0
4.607 0.000 0.000
0.000 4.607 0.000
0.000 0.000 4.802
K Ga Re Ni
1 1 1 2
Direct
0.000 0.000 0.000
0.500 0.500 0.500
0.500 0.500 0.000
0.000 0.500 0.500
0.500 0.000 0.500
```

Calculated values
Energy of formation = 1.24 eV/atom
Space group = P4/mmm (123)

---

Density functional theory data (PBE-GGA) for Sm6GeBr8 after structural relaxation.

The structure in POSCAR format:
```
Sm6GeBr8
1.0
3.644 2.104 10.639
-3.644 2.104 10.639
0.000 -4.207 10.639
Sm Ge Br
6 1 8
Direct
0.140 0.448 0.756
0.244 0.860 0.552
0.448 0.756 0.140
0.552 0.244 0.860
0.756 0.140 0.448
0.860 0.552 0.244
0.500 0.500 0.500
0.053 0.732 0.393
0.167 0.167 0.167
0.268 0.607 0.947
0.393 0.053 0.732
0.607 0.947 0.268
0.732 0.393 0.053
0.833 0.833 0.833
0.947 0.268 0.607
```

Calculated values
Final energy = -68.13 eV per cell
Space group = R-3 (148)

---

Density functional theory data (PBE-GGA) for KZn2Ge2Au6 after structural relaxation.

The structure in POSCAR format:
```
KZn2Ge2Au6
1.0
4.836 0.000 0.000
0.722 6.842 0.000
0.329 0.589 7.188
K Zn Ge Au
1 2 2 6
Direct
0.000 0.000 0.000
0.396 0.123 0.621
0.604 0.877 0.379
0.036 0.544 0.291
0.964 0.456 0.709
0.105 0.797 0.537
0.422 0.235 0.244
0.450 0.374 0.858
0.550 0.626 0.142
0.578 0.765 0.756
0.895 0.203 0.463
```

Calculated values
Energy of formation = -0.11 eV/atom
Space group = P-1 (2)

---

Density functional theory data (PBE-GGA) for Li5Tm3Cl12 after structural relaxation.

The structure in POSCAR format:
```
Li5Tm3Cl12
1.0
-7.507 7.507 7.507
7.507 -7.507 7.507
7.507 7.507 -7.507
Li Tm Cl
20 12 48
Direct
0.000 0.000 0.000
0.000 0.000 0.500
0.000 0.500 0.000
0.000 0.500 0.500
0.125 0.750 0.875
0.125 0.875 0.250
0.250 0.125 0.875
0.250 0.625 0.375
0.375 0.250 0.625
0.375 0.625 0.750
0.500 0.000 0.000
0.500 0.000 0.500
0.500 0.500 0.000
0.500 0.500 0.500
0.625 0.375 0.250
0.625 0.750 0.375
0.750 0.375 0.625
0.750 0.875 0.125
0.875 0.125 0.750
0.875 0.250 0.125
0.125 0.250 0.375
0.125 0.375 0.750
0.250 0.375 0.125
0.250 0.875 0.625
0.375 0.125 0.250
0.375 0.750 0.125
0.625 0.250 0.875
0.625 0.875 0.750
0.750 0.125 0.375
0.750 0.625 0.875
0.875 0.625 0.250
0.875 0.750 0.625
0.038 0.217 0.127
0.038 0.320 0.911
0.089 0.627 0.409
0.089 0.962 0.680
0.091 0.717 0.680
0.091 0.873 0.411
0.127 0.038 0.217
0.127 0.589 0.909
0.180 0.217 0.591
0.180 0.462 0.589
0.217 0.127 0.038
0.217 0.591 0.180
0.283 0.320 0.909
0.283 0.462 0.373
0.320 0.909 0.283
0.320 0.911 0.038
0.373 0.283 0.462
0.373 0.591 0.911
0.409 0.089 0.627
0.409 0.820 0.783
0.411 0.091 0.873
0.411 0.820 0.538
0.462 0.373 0.283
0.462 0.589 0.180
0.538 0.411 0.820
0.538 0.627 0.717
0.589 0.180 0.462
0.589 0.909 0.127
0.591 0.180 0.217
0.591 0.911 0.373
0.627 0.409 0.089
0.627 0.717 0.538
0.680 0.089 0.962
0.680 0.091 0.717
0.717 0.538 0.627
0.717 0.680 0.091
0.783 0.409 0.820
0.783 0.873 0.962
0.820 0.538 0.411
0.820 0.783 0.409
0.873 0.411 0.091
0.873 0.962 0.783
0.909 0.127 0.589
0.909 0.283 0.320
0.911 0.038 0.320
0.911 0.373 0.591
0.962 0.680 0.089
0.962 0.783 0.873
```

Calculated values
Final energy = -325.30 eV per cell
Space group = Ia-3d (230)

---

Density functional theory data (PBE-GGA) for La2Pm3Y3 after structural relaxation.

The structure in POSCAR format:
```
La2Pm3Y3
1.0
-2.583 2.587 10.254
2.583 -2.587 10.254
2.583 2.587 -10.254
La Pm Y
2 3 3
Direct
0.250 0.250 0.000
0.750 0.750 0.000
0.000 0.000 0.000
0.377 0.877 0.500
0.623 0.123 0.500
0.123 0.623 0.500
0.500 0.500 0.000
0.877 0.377 0.500
```

Calculated values
E above lowest polymorph = 0 meV per atom
Energy of formation = 0.02 eV/atom
Space group = Immm (71)

---

Density functional theory data (PBE-GGA) for NaPSeO2 after structural relaxation.

The structure in POSCAR format:
```
NaPSeO2
1.0
3.986 0.000 0.000
0.000 3.986 0.000
0.000 0.000 4.902
Na P Se O
1 1 1 2
Direct
0.000 0.000 0.000
0.500 0.500 0.000
0.500 0.500 0.500
0.000 0.500 0.500
0.500 0.000 0.500
```

Calculated values
E above lowest polymorph = 0 meV per atom
Space group = P4/mmm (123)

---

Density functional theory data (PBE-GGA) for CuAs2W after structural relaxation.

The structure in POSCAR format:
```
CuAs2W
1.0
3.349 0.000 0.000
0.000 3.371 0.000
0.000 0.000 6.279
Cu As W
1 2 1
Direct
0.000 0.000 0.000
0.000 0.000 0.417
0.500 0.500 0.851
0.500 0.500 0.243
```

Calculated values
E above lowest polymorph = 87 meV per atom
Energy of formation = 0.22 eV/atom
Space group = Pmm2 (25)

---

Density functional theory data (PBE-GGA) for Li4RhO4 after structural relaxation.

The structure in POSCAR format:
```
Li4RhO4
1.0
4.958 -1.519 0.000
4.958 1.519 0.000
-4.029 0.000 6.035
Li Rh O
4 1 4
Direct
0.142 0.142 0.382
0.293 0.293 0.183
0.707 0.707 0.817
0.858 0.858 0.618
0.500 0.500 0.000
0.077 0.077 0.888
0.281 0.281 0.704
0.719 0.719 0.296
0.923 0.923 0.112
```

Calculated values
E above lowest polymorph = 0 meV per atom
Space group = C2/m (12)

---

Density functional theory data (PBE-GGA) for Rb2ErInBr6 after structural relaxation.

The structure in POSCAR format:
```
Rb2ErInBr6
1.0
8.003 0.000 0.000
0.000 8.510 0.000
-7.901 0.000 11.551
Rb Er In Br
4 2 2 12
Direct
0.222 0.077 0.249
0.222 0.423 0.749
0.778 0.577 0.251
0.778 0.923 0.751
0.500 0.000 0.000
0.500 0.500 0.500
0.000 0.000 0.500
0.000 0.500 0.000
0.165 0.177 0.949
0.165 0.323 0.449
0.272 0.723 0.942
0.272 0.777 0.442
0.380 0.034 0.771
0.380 0.466 0.271
0.620 0.534 0.729
0.620 0.966 0.229
0.728 0.223 0.558
0.728 0.277 0.058
0.835 0.677 0.551
0.835 0.823 0.051
```

Calculated values
Final energy = -70.85 eV per cell
Space group = P2_1/c (14)

---

Density functional theory data (PBE-GGA) for TiZnC3 after structural relaxation.

The structure in POSCAR format:
```
TiZnC3
1.0
3.854 0.000 0.000
0.000 3.854 0.000
0.000 0.000 3.854
Ti Zn C
1 1 3
Direct
0.000 0.000 0.000
0.500 0.500 0.500
0.000 0.500 0.500
0.500 0.000 0.500
0.500 0.500 0.000
```

Calculated values
E above lowest polymorph = 373 meV per atom
Energy of formation = 2.31 eV/atom
Space group = Pm-3m (221)